Below is BPd2O2 after structural relaxation, with properties calculated at the PBE level.

abc: 4.426 4.426 4.426
angles: 113.48 113.48 101.72
Sites, in units of the cell vectors:
B  0.000  0.000  0.000
Pd  0.250  0.750  0.500
Pd  0.750  0.250  0.500
O  0.234  0.234  0.000
O  0.766  0.766  0.000

- Energy relative to the elements, uncorrected: -223 kJ/mol of formula units
- Energy above the lowest structure with this stoichiometry: 0.000 eV per atom

=====

Below is Ca2ReSe2 after structural relaxation, with properties calculated at the PBE level.

abc: 5.892 5.892 5.892
angles: 120.90 120.90 88.45
Sites, in units of the cell vectors:
Ca  0.250  0.750  0.500
Ca  0.750  0.250  0.500
Re  0.000  0.000  0.000
Se  0.292  0.292  0.000
Se  0.708  0.708  0.000

- Energy relative to the elements, uncorrected: -196 kJ/mol of formula units
- Energy above the lowest structure with this stoichiometry: 0.171 eV per atom

=====

Below is Sc2TaHg after structural relaxation, with properties calculated at the PBE level.

abc: 3.028 3.028 9.305
angles: 90.00 90.00 90.00
Sites, in units of the cell vectors:
Sc  0.000  0.000  0.000
Sc  0.500  0.500  0.289
Ta  0.000  0.000  0.518
Hg  0.500  0.500  0.761

- Energy relative to the elements: 0.05 eV per atom

=====

Below is Sr2TaTlO6 after structural relaxation, with properties calculated at the PBE level.

abc: 5.836 5.960 10.147
angles: 90.00 125.08 90.00
Sites, in units of the cell vectors:
Sr  0.241  0.044  0.252
Sr  0.241  0.456  0.752
Sr  0.759  0.544  0.248
Sr  0.759  0.956  0.748
Ta  0.000  0.000  0.500
Ta  0.000  0.500  0.000
Tl  0.500  0.000  0.000
Tl  0.500  0.500  0.500
O  0.137  0.226  0.949
O  0.137  0.274  0.449
O  0.235  0.691  0.958
O  0.235  0.809  0.458
O  0.321  0.030  0.733
O  0.321  0.470  0.233
O  0.679  0.530  0.767
O  0.679  0.970  0.267
O  0.765  0.191  0.542
O  0.765  0.309  0.042
O  0.863  0.726  0.551
O  0.863  0.774  0.051

- Energy relative to the elements, uncorrected: -2348 kJ/mol of formula units

=====

Below is K3Re2PbO8 after structural relaxation, with properties calculated at the PBE level.

abc: 6.110 6.110 8.539
angles: 90.00 90.00 120.00
Sites, in units of the cell vectors:
K  0.000  0.000  0.000
K  0.333  0.667  0.674
K  0.667  0.333  0.326
Re  0.333  0.667  0.188
Re  0.667  0.333  0.812
Pb  0.000  0.000  0.500
O  0.175  0.351  0.269
O  0.175  0.825  0.269
O  0.333  0.667  0.980
O  0.351  0.175  0.731
O  0.649  0.825  0.269
O  0.667  0.333  0.020
O  0.825  0.175  0.731
O  0.825  0.649  0.731

- Energy relative to the elements, uncorrected: -2055 kJ/mol of formula units

=====

Below is CuReSb2 after structural relaxation, with properties calculated at the PBE level.

abc: 3.345 4.157 5.458
angles: 90.00 90.00 90.00
Sites, in units of the cell vectors:
Cu  0.000  0.000  0.000
Re  0.500  0.500  0.344
Sb  0.000  0.000  0.485
Sb  0.500  0.500  0.854

- Energy relative to the elements, uncorrected: 195 kJ/mol of formula units
- Energy above the lowest structure with this stoichiometry: 0.184 eV per atom

=====

Below is Pa2TaNiN6 after structural relaxation, with properties calculated at the PBE level.

abc: 5.342 5.342 4.559
angles: 90.00 90.00 90.00
Sites, in units of the cell vectors:
Pa  0.000  0.500  0.000
Pa  0.500  0.000  0.000
Ta  0.000  0.000  0.576
Ni  0.500  0.500  0.657
N  0.000  0.000  0.159
N  0.252  0.252  0.722
N  0.252  0.748  0.722
N  0.500  0.500  0.188
N  0.748  0.252  0.722
N  0.748  0.748  0.722

- Energy relative to the elements, uncorrected: -768 kJ/mol of formula units

=====

Below is Th5TcPb2 after structural relaxation, with properties calculated at the PBE level.

abc: 8.810 8.810 13.313
angles: 90.00 90.00 144.25
Sites, in units of the cell vectors:
Th  0.070  0.930  0.599
Th  0.070  0.930  0.901
Th  0.288  0.712  0.566
Th  0.288  0.712  0.934
Th  0.301  0.699  0.250
Th  0.699  0.301  0.750
Th  0.712  0.288  0.066
Th  0.712  0.288  0.434
Th  0.930  0.070  0.099
Th  0.930  0.070  0.401
Tc  0.177  0.823  0.750
Tc  0.823  0.177  0.250
Pb  0.124  0.876  0.132
Pb  0.124  0.876  0.368
Pb  0.876  0.124  0.632
Pb  0.876  0.124  0.868

- Energy relative to the elements: 0.28 eV per atom
- Energy above the lowest structure with this stoichiometry: 0.547 eV per atom